Run one
## SbOs5 (PBE)

Data for a relaxed structure of SbOs5.

Values from the calculation:
- calculated density (g cm⁻³) = 19.33

a = 2.843 Å, b = 2.843 Å, c = 11.400 Å
α = 90.00°, β = 90.00°, γ = 90.00°
Atoms (fractional coordinates):
Os 0.000 0.000 0.500
Os 0.000 0.000 0.821
Os 0.500 0.500 0.334
Os 0.500 0.500 0.666
Os 0.000 0.000 0.179
Sb 0.500 0.500 0.000


Run two
## SbOs5 (PBE)

Data for a relaxed structure of SbOs5.

Values from the calculation:
- calculated density (g cm⁻³) = 19.30

a = 7.559 Å, b = 7.559 Å, c = 4.361 Å
α = 90.00°, β = 90.00°, γ = 158.26°
Atoms (fractional coordinates):
Os 0.995 0.005 0.000
Os 0.673 0.327 0.000
Os 0.787 0.213 0.500
Sb 0.110 0.890 0.500
Os 0.332 0.668 0.000
Os 0.435 0.565 0.500


Stability ranking, top and bottom: run two is the most stable and run one is the least stable.